# ZrTi2Ga4 | the Alexandria database | SCAN | PBEsol geometry
data_ZrTi2Ga4
_space_group_name_H-M_alt 'P 1'
_space_group_IT_number 1
_cell_length_a 5.316
_cell_length_b 5.316
_cell_length_c 5.316
_cell_angle_alpha 104.81
_cell_angle_beta 104.81
_cell_angle_gamma 119.26
loop_
_space_group_symop_operation_xyz
'x,y,z'
loop_
_atom_site_label
_atom_site_fract_x
_atom_site_fract_y
_atom_site_fract_z
Zr1 0.000 0.000 0.000
Ga1 0.696 0.696 0.392
Ga2 0.304 0.696 0.000
Ga3 0.304 0.304 0.608
Ga4 0.696 0.304 0.000
Ti1 0.250 0.750 0.500
Ti2 0.750 0.250 0.500
# magnetic moment: 0.0 μB/cell
# energy of formation from the pure elements: -432 kJ/mol of formula units

# InNi22B6 | the Alexandria database | SCAN | PBEsol geometry
data_InNi22B6
_space_group_name_H-M_alt 'P 1'
_space_group_IT_number 1
_cell_length_a 7.333
_cell_length_b 7.333
_cell_length_c 7.333
_cell_angle_alpha 60.00
_cell_angle_beta 60.00
_cell_angle_gamma 60.00
loop_
_space_group_symop_operation_xyz
'x,y,z'
loop_
_atom_site_label
_atom_site_fract_x
_atom_site_fract_y
_atom_site_fract_z
Ni1 0.664 0.339 0.998
Ni2 0.998 0.998 0.664
Ni3 0.998 0.339 0.998
Ni4 0.621 0.136 0.621
Ni5 0.621 0.621 0.136
Ni6 0.833 0.389 0.389
Ni7 0.664 0.998 0.998
Ni8 0.339 0.998 0.664
Ni9 0.389 0.389 0.389
Ni10 0.998 0.664 0.998
Ni11 0.998 0.998 0.339
Ni12 0.389 0.833 0.389
Ni13 0.750 0.750 0.750
Ni14 0.389 0.389 0.833
Ni15 0.136 0.621 0.621
Ni16 0.664 0.998 0.339
Ni17 0.998 0.664 0.339
Ni18 0.339 0.998 0.998
Ni19 0.000 0.000 0.000
Ni20 0.998 0.339 0.664
Ni21 0.339 0.664 0.998
Ni22 0.621 0.621 0.621
B1 0.728 0.728 0.272
B2 0.728 0.272 0.728
B3 0.272 0.728 0.728
B4 0.272 0.728 0.272
B5 0.272 0.272 0.728
B6 0.728 0.272 0.272
In1 0.250 0.250 0.250
# ΔE to the lowest computed polymorph: 0.000 eV/atom
# magnetic moment: 0.5 μB/cell
# energy of formation from the pure elements: -579 kJ/mol of formula units

# LaZn3Au | the Alexandria database | SCAN | PBEsol geometry
data_LaZn3Au
_space_group_name_H-M_alt 'P 1'
_space_group_IT_number 1
_cell_length_a 5.572
_cell_length_b 5.572
_cell_length_c 5.572
_cell_angle_alpha 90.00
_cell_angle_beta 90.00
_cell_angle_gamma 90.00
loop_
_space_group_symop_operation_xyz
'x,y,z'
loop_
_atom_site_label
_atom_site_fract_x
_atom_site_fract_y
_atom_site_fract_z
Zn1 0.500 0.000 0.000
Zn2 0.000 0.000 0.500
Zn3 0.000 0.500 0.000
Au1 0.500 0.500 0.500
La1 0.000 0.000 0.000
# magnetic moment: 0.0 μB/cell
# energy of formation from the pure elements: 569 kJ/mol of formula units

# Sr5Ca3MnFe7O24 | the Alexandria database | SCAN | PBEsol geometry
data_Sr5Ca3MnFe7O24
_space_group_name_H-M_alt 'P 1'
_space_group_IT_number 1
_cell_length_a 7.509
_cell_length_b 7.515
_cell_length_c 7.525
_cell_angle_alpha 90.16
_cell_angle_beta 89.83
_cell_angle_gamma 89.86
loop_
_space_group_symop_operation_xyz
'x,y,z'
loop_
_atom_site_label
_atom_site_fract_x
_atom_site_fract_y
_atom_site_fract_z
Fe1 0.502 0.999 0.999
Fe2 0.997 0.998 0.501
Fe3 0.503 0.501 0.000
Fe4 0.997 0.501 0.000
Fe5 0.503 0.998 0.501
Fe6 0.997 0.501 0.500
Fe7 0.997 0.999 0.999
O1 0.505 0.978 0.749
O2 0.482 0.480 0.250
O3 0.531 0.249 0.527
O4 0.251 0.505 0.982
O5 0.974 0.251 0.504
O6 0.971 0.499 0.749
O7 0.751 0.533 0.474
O8 0.994 0.995 0.250
O9 0.019 0.749 0.504
O10 0.479 0.751 0.481
O11 0.502 0.251 0.979
O12 0.250 0.480 0.519
O13 0.504 0.016 0.251
O14 0.749 0.969 0.499
O15 0.750 0.004 0.996
O16 0.251 0.019 0.500
O17 0.530 0.524 0.751
O18 0.250 0.995 0.000
O19 0.000 0.250 0.998
O20 0.015 0.501 0.250
O21 0.988 0.750 0.997
O22 0.994 0.000 0.750
O23 0.511 0.750 0.021
O24 0.749 0.499 0.021
Sr1 0.248 0.750 0.246
Sr2 0.248 0.246 0.752
Sr3 0.252 0.749 0.748
Sr4 0.245 0.248 0.248
Sr5 0.749 0.252 0.252
Ca1 0.755 0.753 0.749
Ca2 0.752 0.249 0.759
Ca3 0.750 0.755 0.246
Mn1 0.503 0.501 0.501
# formation energy from raw total energies: -2.342 eV/atom
# magnetic moment: 29.5 μB/cell

# LaMg2Sc | the Alexandria database | SCAN | PBEsol geometry
data_LaMg2Sc
_space_group_name_H-M_alt 'P 1'
_space_group_IT_number 1
_cell_length_a 3.367
_cell_length_b 3.367
_cell_length_c 9.204
_cell_angle_alpha 90.00
_cell_angle_beta 90.00
_cell_angle_gamma 90.00
loop_
_space_group_symop_operation_xyz
'x,y,z'
loop_
_atom_site_label
_atom_site_fract_x
_atom_site_fract_y
_atom_site_fract_z
Mg1 0.000 0.000 0.029
Mg2 0.500 0.500 0.248
La1 0.500 0.500 0.748
Sc1 0.000 0.000 0.475
# magnetic moment: 0.8 μB/cell
# energy of formation from the pure elements: -12 kJ/mol of formula units

# MnMo2Ir | the Alexandria database | SCAN | PBEsol geometry
data_MnMo2Ir
_space_group_name_H-M_alt 'P 1'
_space_group_IT_number 1
_cell_length_a 3.170
_cell_length_b 3.170
_cell_length_c 5.582
_cell_angle_alpha 90.00
_cell_angle_beta 90.00
_cell_angle_gamma 90.00
loop_
_space_group_symop_operation_xyz
'x,y,z'
loop_
_atom_site_label
_atom_site_fract_x
_atom_site_fract_y
_atom_site_fract_z
Mo1 0.000 0.000 0.274
Mo2 0.000 0.000 0.726
Mn1 0.500 0.500 0.500
Ir1 0.500 0.500 0.000
# ΔE to the lowest computed polymorph: 0.271 eV/atom
# magnetic moment: 1.5 μB/cell
# energy of formation from the pure elements: 38 kJ/mol of formula units

# PtAu2 | the Alexandria database | SCAN | PBEsol geometry
data_PtAu2
_space_group_name_H-M_alt 'P 1'
_space_group_IT_number 1
_cell_length_a 2.714
_cell_length_b 4.665
_cell_length_c 4.665
_cell_angle_alpha 90.00
_cell_angle_beta 90.00
_cell_angle_gamma 90.00
loop_
_space_group_symop_operation_xyz
'x,y,z'
loop_
_atom_site_label
_atom_site_fract_x
_atom_site_fract_y
_atom_site_fract_z
Au1 0.500 0.000 0.500
Au2 0.500 0.500 0.000
Pt1 0.000 0.000 0.000
# ΔE to the lowest computed polymorph: 0.032 eV/atom
# magnetic moment: 0.0 μB/cell
# energy of formation from the pure elements: 27 kJ/mol of formula units

# BeTlPt2 | the Alexandria database | SCAN | PBEsol geometry
data_BeTlPt2
_space_group_name_H-M_alt 'P 1'
_space_group_IT_number 1
_cell_length_a 2.915
_cell_length_b 4.309
_cell_length_c 5.322
_cell_angle_alpha 90.00
_cell_angle_beta 105.75
_cell_angle_gamma 90.00
loop_
_space_group_symop_operation_xyz
'x,y,z'
loop_
_atom_site_label
_atom_site_fract_x
_atom_site_fract_y
_atom_site_fract_z
Be1 0.113 0.500 0.849
Pt1 0.790 0.500 0.206
Pt2 0.165 0.000 0.955
Tl1 0.433 0.000 0.490
# ΔE to the lowest computed polymorph: 0.134 eV/atom
# magnetic moment: 0.0 μB/cell
# energy of formation from the pure elements: -27 kJ/mol of formula units

# Ca2OsRu | the Alexandria database | SCAN | PBEsol geometry
data_Ca2OsRu
_space_group_name_H-M_alt 'P 1'
_space_group_IT_number 1
_cell_length_a 2.857
_cell_length_b 5.466
_cell_length_c 5.466
_cell_angle_alpha 116.46
_cell_angle_beta 101.35
_cell_angle_gamma 101.35
loop_
_space_group_symop_operation_xyz
'x,y,z'
loop_
_atom_site_label
_atom_site_fract_x
_atom_site_fract_y
_atom_site_fract_z
Os1 0.500 0.500 0.500
Ca1 0.000 0.000 0.500
Ca2 0.000 0.500 0.000
Ru1 0.500 0.000 0.000
# magnetic moment: 0.0 μB/cell
# energy of formation from the pure elements: 252 kJ/mol of formula units

# KBeSi2 | the Alexandria database | SCAN | PBEsol geometry
data_KBeSi2
_space_group_name_H-M_alt 'P 1'
_space_group_IT_number 1
_cell_length_a 4.921
_cell_length_b 4.921
_cell_length_c 8.315
_cell_angle_alpha 107.21
_cell_angle_beta 107.21
_cell_angle_gamma 90.00
loop_
_space_group_symop_operation_xyz
'x,y,z'
loop_
_atom_site_label
_atom_site_fract_x
_atom_site_fract_y
_atom_site_fract_z
Si1 0.625 0.375 0.750
Si2 0.125 0.375 0.750
Si3 0.625 0.375 0.250
Si4 0.625 0.875 0.250
Be1 0.500 0.500 0.000
Be2 0.750 0.250 0.500
K1 0.250 0.750 0.500
K2 0.000 0.000 0.000
# formation energy from raw total energies: 0.390 eV/atom
# magnetic moment: 0.0 μB/cell

# CaBeCl2 | the Alexandria database | SCAN | PBEsol geometry
data_CaBeCl2
_space_group_name_H-M_alt 'P 1'
_space_group_IT_number 1
_cell_length_a 3.931
_cell_length_b 3.931
_cell_length_c 9.373
_cell_angle_alpha 77.89
_cell_angle_beta 77.89
_cell_angle_gamma 60.00
loop_
_space_group_symop_operation_xyz
'x,y,z'
loop_
_atom_site_label
_atom_site_fract_x
_atom_site_fract_y
_atom_site_fract_z
Be1 0.500 0.500 0.500
Cl1 0.720 0.720 0.839
Cl2 0.280 0.280 0.161
Ca1 0.000 0.000 0.000
# ΔE to the lowest computed polymorph: 0.000 eV/atom
# formation energy from raw total energies: -1.077 eV/atom
# magnetic moment: 0.0 μB/cell

# Zn2Cu2Ag | the Alexandria database | SCAN | PBEsol geometry
data_Zn2Cu2Ag
_space_group_name_H-M_alt 'P 1'
_space_group_IT_number 1
_cell_length_a 2.745
_cell_length_b 6.995
_cell_length_c 6.995
_cell_angle_alpha 90.00
_cell_angle_beta 90.00
_cell_angle_gamma 90.00
loop_
_space_group_symop_operation_xyz
'x,y,z'
loop_
_atom_site_label
_atom_site_fract_x
_atom_site_fract_y
_atom_site_fract_z
Ag1 0.000 0.500 0.500
Ag2 0.000 0.000 0.000
Cu1 0.500 0.163 0.663
Cu2 0.500 0.837 0.337
Cu3 0.500 0.663 0.837
Cu4 0.500 0.337 0.163
Zn1 0.000 0.866 0.634
Zn2 0.000 0.134 0.366
Zn3 0.000 0.366 0.866
Zn4 0.000 0.634 0.134
# magnetic moment: 0.0 μB/cell
# energy of formation from the pure elements: -6 kJ/mol of formula units